Here is an optimized crystal structure of AcGa2SnPd5 from Alexandria via LeMat-Bulk. Energies are from PBE-GGA.

Values from the calculation:
symmetry = P4/mmm (123)
volume = 19.65 Å³/atom
ρ = 9.6 g cm⁻³
E_tot = -44.75 eV for the cell shown

a b c (Å): 4.7885 4.7885 7.7133
angles (deg): 90.00 90.00 90.00
Element x y z (fractional)
1 Ac 0.0000 0.0000 0.0000
2 Ga 0.5000 0.5000 0.3401
3 Ga 0.5000 0.5000 0.6599
4 Sn 0.0000 0.0000 0.5000
5 Pd 0.0000 0.5000 0.2630
6 Pd 0.0000 0.5000 0.7370
7 Pd 0.5000 0.0000 0.2630
8 Pd 0.5000 0.0000 0.7370
9 Pd 0.5000 0.5000 0.0000



Here is an optimized crystal structure of ErTlSiS4 from Alexandria via LeMat-Bulk. Energies are from PBE-GGA.

Values from the calculation:
symmetry = P2_1/m (11)
volume = 25.05 Å³/atom
ρ = 5.0 g cm⁻³
raw formation energy = -1.1597 eV per atom
E_tot = -73.96 eV for the cell shown

a b c (Å): 6.3752 6.5771 8.7618
angles (deg): 90.00 107.31 90.00
Element x y z (fractional)
1 Er 0.2279 0.2500 0.0510
2 Er 0.7721 0.7500 0.9490
3 Tl 0.2592 0.2500 0.5685
4 Tl 0.7408 0.7500 0.4315
5 Si 0.2262 0.7500 0.8310
6 Si 0.7738 0.2500 0.1690
7 S 0.0027 0.0011 0.7946
8 S 0.0027 0.4989 0.7946
9 S 0.4231 0.7500 0.6754
10 S 0.4265 0.7500 0.0729
11 S 0.5735 0.2500 0.9271
12 S 0.5769 0.2500 0.3246
13 S 0.9973 0.5011 0.2054
14 S 0.9973 0.9989 0.2054